# PBE MgHN2, optimized geometry
data_MgHN2
_chemical_formula_sum 'Mg3 H3 N6'
_cell_length_a 3.4413
_cell_length_b 3.4413
_cell_length_c 12.3619
_cell_angle_alpha 90.00
_cell_angle_beta 90.00
_cell_angle_gamma 120.00
_symmetry_space_group_name_H-M 'R -3 m'
_symmetry_Int_Tables_number 166
_symmetry_space_group_name_Hall '-R 3 2"'
loop_
_atom_site_label
_atom_site_type_symbol
_atom_site_fract_x
_atom_site_fract_y
_atom_site_fract_z
_atom_site_occupancy
Mg1 Mg 0.0000 0.0000 0.0000 1
H1 H 0.0000 0.0000 0.5000 1
N1 N 0.0000 0.0000 0.4030 1
# E above lowest polymorph (eV per atom): 0.000
# Crystal system: trigonal


# PBE Mg2H6N, optimized geometry
data_Mg2H6N
_chemical_formula_sum 'Mg8 H24 N4'
_cell_length_a 6.108
_cell_length_b 6.108
_cell_length_c 6.108
_cell_angle_alpha 90.00
_cell_angle_beta 90.00
_cell_angle_gamma 90.00
_symmetry_space_group_name_H-M 'F m -3 m'
_symmetry_Int_Tables_number 225
_symmetry_space_group_name_Hall '-F 4 2 3'
loop_
_atom_site_label
_atom_site_type_symbol
_atom_site_fract_x
_atom_site_fract_y
_atom_site_fract_z
_atom_site_occupancy
Mg1 Mg 0.250 0.250 0.250 1
H1 H 0.000 0.000 0.167 1
N1 N 0.000 0.000 0.500 1
# E (eV per atom): -2.8292
# Crystal system: cubic


# PBE Mg2HN, optimized geometry
data_Mg2HN
_chemical_formula_sum 'Mg6 H3 N3'
_cell_length_a 3.1951
_cell_length_b 3.1951
_cell_length_c 15.3142
_cell_angle_alpha 90.00
_cell_angle_beta 90.00
_cell_angle_gamma 120.00
_symmetry_space_group_name_H-M 'R -3 m'
_symmetry_Int_Tables_number 166
_symmetry_space_group_name_Hall '-R 3 2"'
loop_
_atom_site_label
_atom_site_type_symbol
_atom_site_fract_x
_atom_site_fract_y
_atom_site_fract_z
_atom_site_occupancy
Mg1 Mg 0.0000 0.0000 0.2341 1
H1 H 0.0000 0.0000 0.0000 1
N1 N 0.0000 0.0000 0.5000 1
# E above lowest polymorph (eV per atom): 0.043
# Crystal system: trigonal